{
  "formula": "Cs6Au2IBr3",
  "functional": "PBE",
  "state": "optimized geometry",
  "lattice_angstrom": [[-2.7609, -4.4949, -0.0255], [8.1064, -4.9524, -4.7273], [3.5508, 0.8507, 11.2634]],
  "species": ["Cs", "Cs", "Cs", "Cs", "Cs", "Cs", "Br", "Br", "Br", "Au", "Au", "I"],
  "fractional_positions": [[0.3290, 0.9160, 0.6579], [0.0001, 0.2615, 0.0002], [0.9999, 0.7385, 0.9998], [0.6710, 0.0840, 0.3421], [0.6662, 0.5852, 0.3323], [0.3338, 0.4148, 0.6677], [0.1656, 0.8322, 0.3312], [0.8344, 0.1678, 0.6688], [0.5000, 0.5000, 0.0000], [0.1679, 0.3354, 0.3358], [0.8321, 0.6646, 0.6642], [0.5000, 0.0000, 0.0000]],
  "n_ef_per_ev_fu": 0.0,
  "sg": "C2/m, No. 12",
  "formation_energy_uncorrected_ev_per_atom": -1.255,
  "magnetic_moment_mub_per_fu": 0.0
}